! Y2HoSc3Se6, optimized geometry, DFT PBE; values from VASP
&SYSTEM
  ibrav = 0, nat = 12, ntyp = 4
/
ATOMIC_SPECIES
Sc 44.96 Sc.upf
Se 78.96 Se.upf
Y 88.91 Y.upf
Ho 164.93 Ho.upf
CELL_PARAMETERS angstrom
6.885 -0.015 -0.001
-3.453 5.956 -0.001
-1.146 -1.984 6.515
ATOMIC_POSITIONS angstrom
Sc 4.563 0.004 3.257
Sc -2.277 3.954 3.257
Sc 1.143 1.979 3.257
Se 0.007 3.962 4.788
Se 2.295 3.973 1.733
Se 3.428 1.987 4.788
Se -1.143 1.971 1.725
Se 2.278 -0.005 1.725
Se -0.009 -0.015 4.780
Y -0.011 3.968 -0.001
Y 3.443 1.973 -0.001
Ho 0.000 0.000 0.000
! **E**: -6.452 eV per atom
! **Symmetry**: C2/m (12)
! **Fermi-level density of states**: 0.54 states/eV/atom

---

! YHoSc2Se4, optimized geometry, DFT PBE; values from VASP
&SYSTEM
  ibrav = 0, nat = 8, ntyp = 4
/
ATOMIC_SPECIES
Y 88.91 Y.upf
Ho 164.93 Ho.upf
Se 78.96 Se.upf
Sc 44.96 Sc.upf
CELL_PARAMETERS angstrom
3.948 0.000 0.000
0.000 6.903 -0.158
0.000 2.409 6.462
ATOMIC_POSITIONS angstrom
Y 1.974 3.452 -0.079
Ho 0.000 4.656 3.152
Se 3.948 2.237 1.620
Se 1.974 5.871 1.472
Se 1.974 3.442 4.832
Se 0.000 7.075 4.683
Sc 0.000 2.409 6.462
Sc 1.974 1.205 3.231
! **E**: -6.367 eV per atom
! **Symmetry**: P2/m (10)
! **Fermi-level density of states**: 0.64 states/eV/atom

---

! Y3HoSc2Se6, optimized geometry, DFT PBE; values from VASP
&SYSTEM
  ibrav = 0, nat = 12, ntyp = 4
/
ATOMIC_SPECIES
Ho 164.93 Ho.upf
Se 78.96 Se.upf
Sc 44.96 Sc.upf
Y 88.91 Y.upf
CELL_PARAMETERS angstrom
6.948 -0.015 -0.002
-3.485 6.010 -0.002
-1.157 -2.003 6.579
ATOMIC_POSITIONS angstrom
Ho 0.000 0.000 0.000
Se -1.193 2.053 1.576
Se 2.374 -0.008 1.576
Se -0.069 4.000 5.000
Se 2.278 3.944 1.545
Se 0.028 0.048 5.030
Se 3.499 1.939 5.000
Sc -0.002 3.999 -0.002
Sc 3.464 1.997 -0.002
Y 1.153 1.996 3.288
Y -2.376 4.034 3.288
Y 4.682 -0.042 3.288
! **E**: -6.490 eV per atom
! **Symmetry**: C2/m (12)
! **Fermi-level density of states**: 0.52 states/eV/atom

---

! Y2HoScSe6, optimized geometry, DFT PBE; values from VASP
&SYSTEM
  ibrav = 0, nat = 10, ntyp = 4
/
ATOMIC_SPECIES
Se 78.96 Se.upf
Sc 44.96 Sc.upf
Ho 164.93 Ho.upf
Y 88.91 Y.upf
CELL_PARAMETERS angstrom
-5.915 -0.454 -3.896
-5.447 -3.946 2.265
-6.192 3.608 2.515
ATOMIC_POSITIONS angstrom
Se -9.488 1.988 -0.609
Se -6.252 -0.220 -1.186
Se -7.952 -2.891 1.909
Se -10.335 -1.859 -1.677
Se -11.065 -0.252 1.868
Se -7.647 1.022 2.443
Sc -3.867 -1.297 -0.442
Ho -12.663 -1.653 0.024
Y -8.659 -0.646 0.291
Y -6.089 3.390 2.383
! **E**: -6.278 eV per atom
! **Symmetry**: R3 (146)
! **Fermi-level density of states**: 0.00 states/eV/atom

---

! YHo2ScSe6, optimized geometry, DFT PBE; values from VASP
&SYSTEM
  ibrav = 0, nat = 10, ntyp = 4
/
ATOMIC_SPECIES
Se 78.96 Se.upf
Ho 164.93 Ho.upf
Sc 44.96 Sc.upf
Y 88.91 Y.upf
CELL_PARAMETERS angstrom
7.086 0.000 0.000
3.543 6.137 0.000
3.543 2.046 6.394
ATOMIC_POSITIONS angstrom
Se 8.166 5.922 4.848
Se 4.961 4.111 4.848
Se 8.131 2.241 4.849
Se 5.764 6.246 1.599
Se 5.881 1.869 1.599
Se 9.613 4.159 1.599
Ho 3.543 2.046 6.139
Ho 7.086 4.091 2.895
Sc 3.543 2.045 0.217
Y 10.629 6.137 3.475
! **E**: -6.085 eV per atom
! **Symmetry**: R3 (146)
! **Fermi-level density of states**: 0.00 states/eV/atom

---

! HoZrSc2Se4, optimized geometry, DFT PBE; values from VASP
&SYSTEM
  ibrav = 0, nat = 8, ntyp = 4
/
ATOMIC_SPECIES
Sc 44.96 Sc.upf
Zr 91.22 Zr.upf
Se 78.96 Se.upf
Ho 164.93 Ho.upf
CELL_PARAMETERS angstrom
-3.874 0.279 0.443
-0.860 -1.412 -6.633
-0.577 -6.691 -0.823
ATOMIC_POSITIONS angstrom
Sc -0.577 -6.691 -0.823
Sc -2.225 -3.206 -0.190
Zr -0.718 -4.052 -3.728
Se -4.227 -1.782 -1.349
Se -1.083 -6.042 -5.665
Se -2.734 -2.607 -5.022
Se -2.576 -5.216 -1.991
Ho -2.367 -0.566 -3.095
! **E**: -6.439 eV per atom
! **Symmetry**: P2/m (10)
! **Fermi-level density of states**: 0.57 states/eV/atom

---

! Ho2ZrScSe4, optimized geometry, DFT PBE; values from VASP
&SYSTEM
  ibrav = 0, nat = 8, ntyp = 4
/
ATOMIC_SPECIES
Se 78.96 Se.upf
Ho 164.93 Ho.upf
Zr 91.22 Zr.upf
Sc 44.96 Sc.upf
CELL_PARAMETERS angstrom
3.975 0.000 0.000
0.000 6.830 -0.108
0.000 2.431 6.466
ATOMIC_POSITIONS angstrom
Se 1.987 5.665 1.536
Se 1.987 3.596 4.822
Se 0.000 6.880 4.816
Se 3.975 2.381 1.542
Ho 1.987 1.215 3.233
Ho 0.000 2.431 6.466
Zr 0.000 4.631 3.179
Sc 1.987 3.415 -0.054
! **E**: -6.256 eV per atom
! **Symmetry**: P2/m (10)
! **Fermi-level density of states**: 0.53 states/eV/atom

---

! HoSc2Si, optimized geometry, DFT PBE; values from VASP
&SYSTEM
  ibrav = 0, nat = 4, ntyp = 3
/
ATOMIC_SPECIES
Sc 44.96 Sc.upf
Si 28.09 Si.upf
Ho 164.93 Ho.upf
CELL_PARAMETERS angstrom
3.321 0.000 0.000
1.661 2.876 0.000
1.661 0.959 10.292
ATOMIC_POSITIONS angstrom
Sc 1.661 0.959 7.048
Sc 4.982 2.876 3.245
Si 3.321 1.917 5.146
Ho 0.000 0.000 0.000
! **E**: -5.656 eV per atom
! **Symmetry**: R-3m (166)
! **Fermi-level density of states**: 1.55 states/eV/atom